# 1
A plane-wave DFT calculation with GGA-PBE was carried out for a relaxed structure of La12Co5Ni3.

Unit cell a=14.2936 b=14.2936 c=14.2936 alpha=109.47 beta=109.47 gamma=109.47
Sites, in units of the cell vectors:
1 La 0.0374 0.2148 0.1274
2 La 0.0374 0.3226 0.9100
3 La 0.0873 0.7148 0.6774
4 La 0.0873 0.8726 0.4100
5 La 0.0900 0.6274 0.4127
6 La 0.0900 0.9626 0.6774
7 La 0.1274 0.0374 0.2148
8 La 0.1274 0.5900 0.9127
9 La 0.1774 0.2148 0.5873
10 La 0.1774 0.4626 0.5900
11 La 0.2148 0.1274 0.0374
12 La 0.2148 0.5873 0.1774
13 La 0.2852 0.3226 0.9127
14 La 0.2852 0.4626 0.3726
15 La 0.3226 0.9100 0.0374
16 La 0.3226 0.9127 0.2852
17 La 0.3726 0.2852 0.4626
18 La 0.3726 0.5873 0.9100
19 La 0.4100 0.0873 0.8726
20 La 0.4100 0.8226 0.5374
21 La 0.4127 0.0900 0.6274
22 La 0.4127 0.8226 0.7852
23 La 0.4626 0.3726 0.2852
24 La 0.4626 0.5900 0.1774
25 La 0.5374 0.4100 0.8226
26 La 0.5374 0.6274 0.7148
27 La 0.5873 0.1774 0.2148
28 La 0.5873 0.9100 0.3726
29 La 0.5900 0.1774 0.4626
30 La 0.5900 0.9127 0.1274
31 La 0.6274 0.4127 0.0900
32 La 0.6274 0.7148 0.5374
33 La 0.6774 0.0873 0.7148
34 La 0.6774 0.0900 0.9626
35 La 0.7148 0.5374 0.6274
36 La 0.7148 0.6774 0.0873
37 La 0.7852 0.4127 0.8226
38 La 0.7852 0.8726 0.9626
39 La 0.8226 0.5374 0.4100
40 La 0.8226 0.7852 0.4127
41 La 0.8726 0.4100 0.0873
42 La 0.8726 0.9626 0.7852
43 La 0.9100 0.0374 0.3226
44 La 0.9100 0.3726 0.5873
45 La 0.9127 0.1274 0.5900
46 La 0.9127 0.2852 0.3226
47 La 0.9626 0.6774 0.0900
48 La 0.9626 0.7852 0.8726
49 Co 0.0000 0.0000 0.0000
50 Co 0.0000 0.0000 0.5000
51 Co 0.0000 0.5000 0.0000
52 Co 0.0000 0.5000 0.5000
53 Co 0.1250 0.7500 0.8750
54 Co 0.1250 0.8750 0.2500
55 Co 0.2500 0.1250 0.8750
56 Co 0.2500 0.6250 0.3750
57 Co 0.3750 0.2500 0.6250
58 Co 0.3750 0.6250 0.7500
59 Co 0.5000 0.0000 0.0000
60 Co 0.5000 0.0000 0.5000
61 Co 0.5000 0.5000 0.0000
62 Co 0.5000 0.5000 0.5000
63 Co 0.6250 0.3750 0.2500
64 Co 0.6250 0.7500 0.3750
65 Co 0.7500 0.3750 0.6250
66 Co 0.7500 0.8750 0.1250
67 Co 0.8750 0.1250 0.7500
68 Co 0.8750 0.2500 0.1250
69 Ni 0.1250 0.2500 0.3750
70 Ni 0.1250 0.3750 0.7500
71 Ni 0.2500 0.3750 0.1250
72 Ni 0.2500 0.8750 0.6250
73 Ni 0.3750 0.1250 0.2500
74 Ni 0.3750 0.7500 0.1250
75 Ni 0.6250 0.2500 0.8750
76 Ni 0.6250 0.8750 0.7500
77 Ni 0.7500 0.1250 0.3750
78 Ni 0.7500 0.6250 0.8750
79 Ni 0.8750 0.6250 0.2500
80 Ni 0.8750 0.7500 0.6250

Properties
Spin magnetization ... 0.0 μB/f.u.
Symmetry ... Ia-3d, No. 230
Energy of formation from the pure elements ... 40 meV/atom

---

# 2
A plane-wave DFT calculation with GGA-PBE was carried out for a relaxed structure of LaCoNi.

Unit cell a=6.9670 b=6.9646 c=4.2039 alpha=72.47 beta=72.41 gamma=35.13
Sites, in units of the cell vectors:
1 La 0.1531 0.1531 0.8469
2 La 0.8469 0.8469 0.1531
3 Co 0.0000 0.0000 0.5000
4 Co 0.5000 0.5000 0.0000
5 Ni 0.4013 0.4013 0.5987
6 Ni 0.5987 0.5987 0.4013

Properties
Spin magnetization ... 0.4 μB/f.u.
Symmetry ... Fmmm, No. 69
Energy of formation from the pure elements ... -129 meV/atom

---

# 3
A plane-wave DFT calculation with GGA-PBE was carried out for a relaxed structure of La2CoNi.

Unit cell a=6.1819 b=6.1819 c=6.1819 alpha=106.14 beta=106.14 gamma=116.36
Sites, in units of the cell vectors:
1 La 0.1114 0.6250 0.9864
2 La 0.3750 0.3614 0.4864
3 La 0.6386 0.1250 0.0136
4 La 0.8750 0.8886 0.5136
5 Co 0.0000 0.0000 0.0000
6 Co 0.7500 0.2500 0.5000
7 Ni 0.2500 0.7500 0.5000
8 Ni 0.5000 0.5000 0.0000

Properties
Spin magnetization ... 0.0 μB/f.u.
Symmetry ... I-42d, No. 122
Energy of formation from the pure elements ... 109 meV/atom

---

# 4
A plane-wave DFT calculation with GGA-PBE was carried out for a relaxed structure of LaCoNi.

Unit cell a=5.7585 b=5.7585 c=5.7585 alpha=139.38 beta=88.25 gamma=105.75
Sites, in units of the cell vectors:
1 La 0.0000 0.0000 0.0000
2 La 0.5000 0.0000 0.5000
3 Co 0.4257 0.6757 0.7500
4 Co 0.5743 0.3243 0.2500
5 Ni 0.0885 0.3385 0.7500
6 Ni 0.9115 0.6615 0.2500

Properties
Spin magnetization ... 0.3 μB/f.u.
Symmetry ... Imma, No. 74
Energy of formation from the pure elements ... -198 meV/atom

---

# 5
A plane-wave DFT calculation with GGA-PBE was carried out for a relaxed structure of LaCo2Ni.

Unit cell a=5.2420 b=5.2420 c=3.2509 alpha=106.07 beta=106.07 gamma=120.65
Sites, in units of the cell vectors:
1 La 0.0000 0.0000 0.0000
2 Co 0.0000 0.5000 0.5000
3 Co 0.5000 0.0000 0.5000
4 Ni 0.5000 0.5000 0.0000

Properties
Spin magnetization ... 2.4 μB/f.u.
Symmetry ... C2/m, No. 12
Energy of formation from the pure elements ... 344 meV/atom

---

# 6
A plane-wave DFT calculation with GGA-PBE was carried out for a relaxed structure of La2CoNi.

Unit cell a=4.0671 b=4.0671 c=6.9937 alpha=106.81 beta=106.81 gamma=60.03
Sites, in units of the cell vectors:
1 La 0.2469 0.2469 0.2403
2 La 0.7531 0.7531 0.7597
3 Co 0.5000 0.5000 0.0000
4 Ni 0.0000 0.0000 0.5000

Properties
Spin magnetization ... 0.0 μB/f.u.
Symmetry ... C2/m, No. 12
Energy of formation from the pure elements ... -51 meV/atom

---

Please write out number 3 again, unchanged.
A plane-wave DFT calculation with GGA-PBE was carried out for a relaxed structure of La2CoNi.

Unit cell a=6.1819 b=6.1819 c=6.1819 alpha=106.14 beta=106.14 gamma=116.36
Sites, in units of the cell vectors:
1 La 0.1114 0.6250 0.9864
2 La 0.3750 0.3614 0.4864
3 La 0.6386 0.1250 0.0136
4 La 0.8750 0.8886 0.5136
5 Co 0.0000 0.0000 0.0000
6 Co 0.7500 0.2500 0.5000
7 Ni 0.2500 0.7500 0.5000
8 Ni 0.5000 0.5000 0.0000

Properties
Spin magnetization ... 0.0 μB/f.u.
Symmetry ... I-42d, No. 122
Energy of formation from the pure elements ... 109 meV/atom